Computed, not measured: Cd2TeP after structural relaxation at the PBE level of DFT.

```
4
Lattice="0.000 3.593 3.593 3.593 0.000 3.593 3.593 3.593 0.000" Properties=species:S:1:pos:R:3 pbc="T T T"
Cd 1.797 1.797 1.797
Cd 5.390 5.390 5.390
Te 0.000 0.000 0.000
P 3.593 3.593 3.593
```

Output
Uncorrected formation energy ... 0.37 eV/atom
Total moment ... 0.000 μB per cell
Volume ... 92.8 Å³/cell
E above lowest polymorph ... 439.1 meV per atom